one) A geometry-optimized NaOsRh structure, computed with PBE.

abc: 21.2393 7.3486 7.3486
angles: 158.58 163.25 16.75
Closest atoms and distances in Å follow each position.
Positions (direct):
Rh: 0.0237 0.1423 0.8577  3 Na 2.62-2.82, 4 Rh 2.73-2.90, 2 Os 2.75
Rh: 0.9598 0.5575 0.4425  4 Os 2.64-2.74, 4 Rh 2.73-2.90, 3 Na 2.74-2.86
Os: 0.0815 0.7235 0.2765  5 Os 2.59-2.88, 4 Rh 2.74-2.75
Os: 0.5385 0.5899 0.4101  5 Os 2.59-2.88, 2 Rh 2.64, 4 Na 2.77-2.87
Na: 0.4761 0.3532 0.6468  4 Na 2.69-2.73, 4 Rh 2.74-2.96, 2 Os 2.87
Na: 0.5386 0.9229 0.0771  3 Rh 2.62-2.82, 4 Na 2.69-2.73, 2 Os 2.77

Computed properties:
For the density of states at the Fermi level, the calculation gives 5.9 states/eV/cell. The value obtained for the magnetization is 0.00 μB per atom.

two) A geometry-optimized NaOsRh structure, computed with PBE.

abc: 10.9561 5.7915 5.7915
angles: 140.93 145.71 34.29
Closest atoms and distances in Å follow each position.
Positions (direct):
Os: 0.9021 0.3860 0.6140  2 Os 2.45, 3 Rh 2.56-2.67
Rh: 0.6017 0.0994 0.9006  4 Os 2.56-2.77, 2 Rh 2.58
Na: 0.7465 0.2476 0.7524  2 Na 2.71-2.73
Na: 0.2535 0.7524 0.2476  2 Na 2.71-2.73
Os: 0.0979 0.6140 0.3860  2 Os 2.45, 3 Rh 2.56-2.67
Rh: 0.3983 0.9006 0.0994  4 Os 2.56-2.77, 2 Rh 2.58

Computed properties:
For the density of states at the Fermi level, the calculation gives 4.8 states/eV/cell. The value obtained for the magnetization is 0.00 μB per atom.

three) A geometry-optimized NaOsRh structure, computed with PBE.

abc: 4.9466 4.9466 9.2277
angles: 90.00 90.00 120.00
Closest atoms and distances in Å follow each position.
Positions (direct):
Na: 0.6667 0.3333 0.7500  3 Rh 2.86
Rh: 0.0000 0.0000 0.2500  2 Os 2.31
Os: 0.0000 0.0000 0.0000  2 Rh 2.31
Os: 0.0000 0.0000 0.5000  2 Rh 2.31
Na: 0.3333 0.6667 0.2500  3 Rh 2.86
Rh: 0.0000 0.0000 0.7500  2 Os 2.31

Computed properties:
For the density of states at the Fermi level, the calculation gives 12.0 states/eV/cell. The value obtained for the magnetization is 0.61 μB per atom.

four) A geometry-optimized NaOsRh structure, computed with PBE.

abc: 3.8761 11.0293 2.7266
angles: 74.91 90.00 89.99
Closest atoms and distances in Å follow each position.
Positions (direct):
Rh: 0.4596 0.7383 0.8532  8 Os 2.58-2.87, 3 Rh 2.73-2.77
Os: 0.9598 0.5865 0.5132  3 Os 2.63-2.73, 8 Rh 2.63-2.87
Rh: 0.4598 0.4783 0.1270  4 Os 2.63-2.64, 3 Rh 2.73-2.77
Na: 0.4594 0.0286 0.5531  2 Na 2.73
Na: 0.9597 0.2934 0.8143  2 Na 2.73
Os: 0.9596 0.8338 0.2533  4 Rh 2.58, 3 Os 2.63-2.73

Computed properties:
For the density of states at the Fermi level, the calculation gives 7.0 states/eV/cell. The value obtained for the magnetization is 0.00 μB per atom.

Relative calculated energies, zero for the most stable structure, unit meV/atom: one) 50; two) 12; three) 1647; four) 0.

one) A geometry-optimized NaOsRh structure, computed with PBE.

abc: 4.6304 4.6091 5.5018
angles: 68.53 110.95 102.27
Closest atoms and distances in Å follow each position.
Positions (direct):
Na: 0.2929 0.8422 0.8504  1 Na 2.35
Rh: 0.8801 0.3015 0.6834  3 Os 2.51-2.71, 2 Rh 2.61-2.70
Os: 0.1366 0.0492 0.2237  2 Os 2.42-2.70, 3 Rh 2.47-2.67
Na: 0.6830 0.5002 0.0259  1 Na 2.35
Rh: 0.7046 0.8883 0.4242  3 Os 2.47-2.62, 2 Rh 2.61-2.70
Os: 0.2844 0.4513 0.4413  2 Os 2.42-2.70, 2 Rh 2.49-2.51

Computed properties:
For the density of states at the Fermi level, the calculation gives 4.3 states/eV/cell. The value obtained for the magnetization is 0.00 μB per atom.

two) A geometry-optimized NaOsRh structure, computed with PBE.

abc: 5.9939 3.9523 5.2835
angles: 90.00 77.34 90.00
Closest atoms and distances in Å follow each position.
Positions (direct):
Os: 0.0636 0.7500 0.1025  2 Os 2.45, 4 Rh 2.56-2.67
Na: 0.4396 0.2500 0.2610  4 Rh 3.07-3.14, 3 Os 3.17-3.24, 4 Na 3.34-3.41
Os: 0.9364 0.2500 0.8975  2 Os 2.45, 4 Rh 2.56-2.67
Na: 0.5604 0.7500 0.7390  4 Rh 3.07-3.14, 3 Os 3.17-3.24, 4 Na 3.34-3.41
Rh: 0.9105 0.2500 0.3986  4 Os 2.56-2.67, 2 Rh 2.59
Rh: 0.0895 0.7500 0.6014  4 Os 2.56-2.67, 2 Rh 2.59

Computed properties:
For the density of states at the Fermi level, the calculation gives 4.4 states/eV/cell. The value obtained for the magnetization is 0.00 μB per atom.

three) A geometry-optimized NaOsRh structure, computed with PBE.

abc: 5.8866 7.5309 2.7089
angles: 90.11 76.68 111.47
Closest atoms and distances in Å follow each position.
Positions (direct):
Os: 0.3961 0.6516 0.6988  4 Os 2.57-2.71, 4 Rh 2.62-2.63
Na: 0.4080 0.0568 0.6886  2 Na 2.71, 1 Os 3.03
Rh: 0.7977 0.8577 0.9982  4 Os 2.62-2.63, 3 Rh 2.71-2.76
Os: 0.0234 0.6680 0.3835  4 Os 2.57-2.71, 4 Rh 2.62-2.63
Rh: 0.6218 0.4619 0.0841  4 Os 2.62-2.63, 3 Rh 2.71-2.76
Na: 0.0108 0.2628 0.3951  2 Na 2.71, 1 Os 3.03

Computed properties:
For the density of states at the Fermi level, the calculation gives 5.0 states/eV/cell. The value obtained for the magnetization is 0.00 μB per atom.

Relative calculated energies, zero for the most stable structure, unit meV/atom: one) 149; two) 100; three) 0.

one) A geometry-optimized NaOsRh structure, computed with PBE.

abc: 6.0267 7.6587 2.7120
angles: 99.89 103.12 65.24
Closest atoms and distances in Å follow each position.
Positions (direct):
Na: 0.7363 0.2654 0.5444  2 Na 2.71, 1 Rh 2.95
Os: 0.7480 0.6487 0.2474  4 Os 2.55-2.71, 4 Rh 2.58-2.63
Rh: 0.9282 0.8552 0.9395  3 Os 2.58-2.63, 4 Rh 2.71-2.72
Os: 0.1425 0.4753 0.8640  4 Os 2.55-2.71, 3 Rh 2.63
Rh: 0.3583 0.6642 0.5653  4 Os 2.61-2.63, 4 Rh 2.71-2.72
Na: 0.3447 0.0500 0.2633  2 Na 2.71, 1 Os 3.02

Computed properties:
For the density of states at the Fermi level, the calculation gives 7.0 states/eV/cell. The value obtained for the magnetization is 0.00 μB per atom.

two) A geometry-optimized NaOsRh structure, computed with PBE.

abc: 4.2266 4.2266 4.2266
angles: 60.00 60.00 60.00
Closest atoms and distances in Å follow each position.
Positions (direct):
Na: 0.2500 0.2500 0.2500  4 Rh 2.59
Rh: 0.0000 0.0000 0.0000  4 Na 2.59, 4 Os 2.59
Os: 0.7500 0.7500 0.7500  4 Rh 2.59

Computed properties:
For the density of states at the Fermi level, the calculation gives 3.8 states/eV/cell. The value obtained for the magnetization is 0.00 μB per atom.

three) A geometry-optimized NaOsRh structure, computed with PBE.

abc: 4.3650 9.2616 2.7242
angles: 82.23 90.00 89.99
Closest atoms and distances in Å follow each position.
Positions (direct):
Rh: 0.1261 0.8354 0.8072  6 Os 2.65-2.74, 2 Rh 2.72
Na: 0.1264 0.2738 0.5800  2 Na 2.72, 1 Os 2.88
Os: 0.6262 0.7319 0.3552  4 Os 2.55-2.72, 6 Rh 2.65-2.74
Rh: 0.6263 0.4842 0.9689  6 Os 2.65-2.74, 2 Rh 2.72
Na: 0.6266 0.0459 0.1988  2 Na 2.72, 1 Os 2.88
Os: 0.1262 0.5876 0.4208  4 Os 2.55-2.72, 6 Rh 2.65-2.74

Computed properties:
For the density of states at the Fermi level, the calculation gives 5.7 states/eV/cell. The value obtained for the magnetization is 0.00 μB per atom.

four) A geometry-optimized NaOsRh structure, computed with PBE.

abc: 3.9478 2.6659 5.8384
angles: 76.80 70.24 90.00
Closest atoms and distances in Å follow each position.
Positions (direct):
Rh: 0.8788 0.3788 0.2424  4 Os 2.54, 2 Rh 2.67
Os: 0.2964 0.7964 0.4072  4 Rh 2.54, 2 Os 2.67
Na: 0.5866 0.0866 0.8269  2 Na 2.67

Computed properties:
For the density of states at the Fermi level, the calculation gives 2.5 states/eV/cell. The value obtained for the magnetization is 0.00 μB per atom.

Relative calculated energies, zero for the most stable structure, unit meV/atom: one) 63; two) 657; three) 0; four) 123.

one) A geometry-optimized Na2OsRh structure, computed with PBE.

abc: 8.0856 8.0856 6.2171
angles: 49.44 49.44 90.00
Closest atoms and distances in Å follow each position.
Positions (direct):
Na: 0.6084 0.1250 0.2500  2 Na 2.46
Os: 0.0000 0.0000 0.0000  2 Rh 2.44
Na: 0.8750 0.8584 0.7500  2 Na 2.46
Rh: 0.2500 0.7500 0.5000  2 Os 2.44
Os: 0.7500 0.2500 0.5000  2 Rh 2.44
Na: 0.3750 0.3916 0.7500  2 Na 2.46
Na: 0.1416 0.6250 0.2500  2 Na 2.46
Rh: 0.5000 0.5000 0.0000  2 Os 2.44

Computed properties:
For the density of states at the Fermi level, the calculation gives 9.1 states/eV/cell. The value obtained for the magnetization is 0.35 μB per atom.

two) A geometry-optimized Na2OsRh structure, computed with PBE.

abc: 4.6387 4.6387 4.6387
angles: 60.00 60.00 60.00
Closest atoms and distances in Å follow each position.
Positions (direct):
Na: 0.2500 0.2500 0.2500  4 Os 2.84, 4 Rh 2.84
Rh: 0.0000 0.0000 0.0000  8 Na 2.84
Os: 0.5000 0.5000 0.5000  8 Na 2.84
Na: 0.7500 0.7500 0.7500  4 Os 2.84, 4 Rh 2.84

Computed properties:
For the density of states at the Fermi level, the calculation gives 7.3 states/eV/cell. The value obtained for the magnetization is 0.71 μB per atom.

Relative calculated energies, zero for the most stable structure, unit meV/atom: one) 0; two) 161.

one) A geometry-optimized Na2ZnOsRh structure, computed with PBE.

abc: 4.6798 4.7758 4.6798
angles: 90.00 90.00 90.00
Closest atoms and distances in Å follow each position.
Positions (direct):
Na: 0.5000 0.0000 0.0000  2 Zn 2.34
Zn: 0.0000 0.0000 0.0000  4 Na 2.34, 2 Os 2.39
Rh: 0.5000 0.5000 0.5000  4 Os 3.31, 8 Na 3.34
Os: 0.0000 0.5000 0.0000  2 Zn 2.39
Na: 0.0000 0.0000 0.5000  2 Zn 2.34

Computed properties:
For the density of states at the Fermi level, the calculation gives 6.1 states/eV/cell. The value obtained for the magnetization is 0.47 μB per atom.

two) A geometry-optimized Na2ZnOsRh structure, computed with PBE.

abc: 5.3779 4.6520 5.3779
angles: 90.00 90.00 90.00
Closest atoms and distances in Å follow each position.
Positions (direct):
Os: 0.0000 0.5000 0.0000  2 Rh 2.33
Na: 0.5000 0.0000 0.0000  2 Rh 2.69
Rh: 0.0000 0.0000 0.0000  2 Os 2.33
Na: 0.0000 0.0000 0.5000  2 Rh 2.69
Zn: 0.5000 0.5000 0.5000  8 Na 3.56, 4 Os 3.80

Computed properties:
For the density of states at the Fermi level, the calculation gives 4.6 states/eV/cell. The value obtained for the magnetization is 0.27 μB per atom.

Relative calculated energies, zero for the most stable structure, unit meV/atom: one) 277; two) 0.

one) A geometry-optimized Na2OsRu structure, computed with PBE.

abc: 4.6352 4.6352 4.6352
angles: 60.00 60.00 60.00
Closest atoms and distances in Å follow each position.
Positions (direct):
Na: 0.7500 0.7500 0.7500  4 Os 2.84, 4 Ru 2.84
Os: 0.5000 0.5000 0.5000  8 Na 2.84
Ru: 0.0000 0.0000 0.0000  8 Na 2.84
Na: 0.2500 0.2500 0.2500  4 Os 2.84, 4 Ru 2.84

Computed properties:
For the density of states at the Fermi level, the calculation gives 4.5 states/eV/cell. The value obtained for the magnetization is 0.90 μB per atom.

two) A geometry-optimized Na2OsRu structure, computed with PBE.

abc: 8.1347 8.1347 6.2378
angles: 49.30 49.30 90.00
Closest atoms and distances in Å follow each position.
Positions (direct):
Na: 0.1308 0.6250 0.2500  2 Na 2.42
Os: 0.0000 0.0000 0.0000  2 Ru 2.41
Ru: 0.5000 0.5000 0.0000  2 Os 2.41
Ru: 0.2500 0.7500 0.5000  2 Os 2.41
Na: 0.6192 0.1250 0.2500  2 Na 2.42
Na: 0.3750 0.3808 0.7500  2 Na 2.42
Na: 0.8750 0.8692 0.7500  2 Na 2.42
Os: 0.7500 0.2500 0.5000  2 Ru 2.41

Computed properties:
For the density of states at the Fermi level, the calculation gives 11.5 states/eV/cell. The value obtained for the magnetization is 0.49 μB per atom.

Relative calculated energies, zero for the most stable structure, unit meV/atom: one) 221; two) 0.

one) A geometry-optimized NaOs2Ru structure, computed with PBE.

abc: 4.3700 4.3700 4.3700
angles: 60.00 60.00 60.00
Closest atoms and distances in Å follow each position.
Positions (direct):
Ru: 0.5000 0.5000 0.5000  8 Os 2.68
Na: 0.0000 0.0000 0.0000  8 Os 2.68
Os: 0.2500 0.2500 0.2500  4 Na 2.68, 4 Ru 2.68
Os: 0.7500 0.7500 0.7500  4 Ru 2.68, 4 Na 2.68

Computed properties:
For the density of states at the Fermi level, the calculation gives 6.6 states/eV/cell. The value obtained for the magnetization is 0.24 μB per atom.

two) A geometry-optimized NaOs2Ru structure, computed with PBE.

abc: 7.4401 7.4401 5.8404
angles: 50.44 50.44 90.00
Closest atoms and distances in Å follow each position.
Positions (direct):
Os: 0.6805 0.1250 0.2500  2 Ru 2.44, 2 Os 2.67
Na: 0.2500 0.7500 0.5000  2 Ru 2.54
Ru: 0.0000 0.0000 0.0000  4 Os 2.44, 2 Na 2.54
Os: 0.3750 0.3195 0.7500  2 Ru 2.44, 2 Os 2.67
Os: 0.0695 0.6250 0.2500  2 Ru 2.44, 2 Os 2.67
Na: 0.5000 0.5000 0.0000  2 Ru 2.54
Os: 0.8750 0.9305 0.7500  2 Ru 2.44, 2 Os 2.67
Ru: 0.7500 0.2500 0.5000  4 Os 2.44, 2 Na 2.54

Computed properties:
For the density of states at the Fermi level, the calculation gives 6.4 states/eV/cell. The value obtained for the magnetization is 0.00 μB per atom.

Relative calculated energies, zero for the most stable structure, unit meV/atom: one) 0; two) 136.

one) A geometry-optimized NaOs3Ru structure, computed with PBE.

abc: 4.7118 4.7118 4.7118
angles: 90.00 90.00 90.00
Closest atoms and distances in Å follow each position.
Positions (direct):
Na: 0.5000 0.5000 0.5000  12 Os 3.33
Os: 0.5000 0.0000 0.0000  2 Ru 2.36
Os: 0.0000 0.0000 0.5000  2 Ru 2.36
Os: 0.0000 0.5000 0.0000  2 Ru 2.36
Ru: 0.0000 0.0000 0.0000  6 Os 2.36

Computed properties:
For the density of states at the Fermi level, the calculation gives 8.3 states/eV/cell. The value obtained for the magnetization is 0.14 μB per atom.

two) A geometry-optimized NaOs3Ru structure, computed with PBE.

abc: 4.3450 4.3450 4.3450
angles: 90.00 90.00 90.00
Closest atoms and distances in Å follow each position.
Positions (direct):
Os: 0.0000 0.5000 0.0000  2 Na 2.17
Ru: 0.5000 0.5000 0.5000  12 Os 3.07
Na: 0.0000 0.0000 0.0000  6 Os 2.17
Os: 0.5000 0.0000 0.0000  2 Na 2.17
Os: 0.0000 0.0000 0.5000  2 Na 2.17

Computed properties:
For the density of states at the Fermi level, the calculation gives 6.9 states/eV/cell. The value obtained for the magnetization is 0.00 μB per atom.

Relative calculated energies, zero for the most stable structure, unit meV/atom: one) 0; two) 965.